# 1
# FeTe2Mo | Alexandria | PBE | relaxed
data_FeTe2Mo
_chemical_formula_sum 'Fe4 Te8 Mo4'
_space_group_name_H-M_alt 'I -4 2 d'
_space_group_IT_number 122
_space_group_name_Hall 'I -4 2bw'
_cell_length_a 6.011
_cell_length_b 6.011
_cell_length_c 11.256
_cell_angle_alpha 90.00
_cell_angle_beta 90.00
_cell_angle_gamma 90.00
loop_
_atom_site_label
_atom_site_type_symbol
_atom_site_fract_x
_atom_site_fract_y
_atom_site_fract_z
Fe1 Fe 0.000 0.000 0.000
Te1 Te 0.224 0.250 0.125
Mo1 Mo 0.000 0.000 0.500
# - Energy relative to the elements, uncorrected: 2.51 eV per formula unit
# - Total moment: 1.271 μB per formula unit
# - Total DFT energy (no corrections): -92.288 eV per cell

=====

# 2
# FeTeMo | Alexandria | PBE | relaxed
data_FeTeMo
_chemical_formula_sum 'Fe1 Te1 Mo1'
_space_group_name_H-M_alt 'P 3 m 1'
_space_group_IT_number 156
_space_group_name_Hall 'P 3 -2"'
_cell_length_a 3.7962
_cell_length_b 3.7962
_cell_length_c 4.4287
_cell_angle_alpha 90.00
_cell_angle_beta 90.00
_cell_angle_gamma 120.00
loop_
_atom_site_label
_atom_site_type_symbol
_atom_site_fract_x
_atom_site_fract_y
_atom_site_fract_z
Fe1 Fe 0.0000 0.0000 0.0000
Te1 Te 0.3333 0.6667 0.6865
Mo1 Mo 0.6667 0.3333 0.1753
# - Energy relative to the elements, uncorrected: 1.32 eV per formula unit
# - Total moment: 0.000 μB per formula unit
# - Total DFT energy (no corrections): -21.112 eV per cell

=====

# 3
# FeTe2Mo | Alexandria | PBE | relaxed
data_FeTe2Mo
_chemical_formula_sum 'Fe2 Te4 Mo2'
_space_group_name_H-M_alt 'C 1 m 1'
_space_group_IT_number 8
_space_group_name_Hall 'C -2y'
_cell_length_a 6.839
_cell_length_b 3.947
_cell_length_c 7.098
_cell_angle_alpha 90.00
_cell_angle_beta 90.25
_cell_angle_gamma 90.00
loop_
_atom_site_label
_atom_site_type_symbol
_atom_site_fract_x
_atom_site_fract_y
_atom_site_fract_z
Fe1 Fe 0.000 0.000 0.000
Te1 Te 0.334 0.000 0.170
Te2 Te 0.498 0.500 0.648
Mo1 Mo 0.166 0.500 0.888
# - Energy relative to the elements, uncorrected: -0.56 eV per formula unit
# - Total moment: 0.000 μB per formula unit
# - Total DFT energy (no corrections): -52.276 eV per cell

=====

# 4
# FeTe3Mo | Alexandria | PBE | relaxed
data_FeTe3Mo
_chemical_formula_sum 'Fe1 Te3 Mo1'
_space_group_name_H-M_alt 'P m -3 m'
_space_group_IT_number 221
_space_group_name_Hall '-P 4 2 3'
_cell_length_a 4.880
_cell_length_b 4.880
_cell_length_c 4.880
_cell_angle_alpha 90.00
_cell_angle_beta 90.00
_cell_angle_gamma 90.00
loop_
_atom_site_label
_atom_site_type_symbol
_atom_site_fract_x
_atom_site_fract_y
_atom_site_fract_z
Fe1 Fe 0.000 0.000 0.000
Te1 Te 0.000 0.000 0.500
Mo1 Mo 0.500 0.500 0.500
# - Energy relative to the elements, uncorrected: 5.48 eV per formula unit
# - Total moment: 0.000 μB per formula unit
# - Total DFT energy (no corrections): -23.234 eV per cell

=====

# 5
# FeTeMo4 | Alexandria | PBE | relaxed
data_FeTeMo4
_chemical_formula_sum 'Fe4 Te4 Mo16'
_space_group_name_H-M_alt 'F -4 3 m'
_space_group_IT_number 216
_space_group_name_Hall 'F -4 2 3'
_cell_length_a 7.467
_cell_length_b 7.467
_cell_length_c 7.467
_cell_angle_alpha 90.00
_cell_angle_beta 90.00
_cell_angle_gamma 90.00
loop_
_atom_site_label
_atom_site_type_symbol
_atom_site_fract_x
_atom_site_fract_y
_atom_site_fract_z
Fe1 Fe 0.000 0.000 0.000
Te1 Te 0.250 0.250 0.250
Mo1 Mo 0.126 0.126 0.626
# - Energy relative to the elements, uncorrected: 3.89 eV per formula unit
# - Total moment: 3.083 μB per formula unit
# - Total DFT energy (no corrections): -204.163 eV per cell

=====

# 6
# ThFeMo | Alexandria | PBE | relaxed
data_ThFeMo
_chemical_formula_sum 'Th4 Fe4 Mo4'
_space_group_name_H-M_alt 'C 1 2/m 1'
_space_group_IT_number 12
_space_group_name_Hall '-C 2y'
_cell_length_a 9.436
_cell_length_b 3.249
_cell_length_c 8.101
_cell_angle_alpha 90.00
_cell_angle_beta 104.14
_cell_angle_gamma 90.00
loop_
_atom_site_label
_atom_site_type_symbol
_atom_site_fract_x
_atom_site_fract_y
_atom_site_fract_z
Th1 Th 0.165 0.000 0.152
Fe1 Fe 0.089 0.000 0.788
Mo1 Mo 0.150 0.000 0.509
# - E_form: 0.565 eV/atom
# - Total moment: 0.004 μB per formula unit
# - Total DFT energy (no corrections): -100.073 eV per cell

=====

# 7
# ThFe10Mo | Alexandria | PBE | relaxed
data_ThFe10Mo
_chemical_formula_sum 'Th1 Fe10 Mo1'
_space_group_name_H-M_alt 'P m m m'
_space_group_IT_number 47
_space_group_name_Hall '-P 2 2'
_cell_length_a 4.035
_cell_length_b 4.812
_cell_length_c 8.362
_cell_angle_alpha 90.00
_cell_angle_beta 90.00
_cell_angle_gamma 90.00
loop_
_atom_site_label
_atom_site_type_symbol
_atom_site_fract_x
_atom_site_fract_y
_atom_site_fract_z
Th1 Th 0.000 0.000 0.000
Fe1 Fe 0.000 0.000 0.349
Fe2 Fe 0.000 0.500 0.193
Fe3 Fe 0.500 0.000 0.500
Fe4 Fe 0.500 0.256 0.265
Fe5 Fe 0.500 0.500 0.000
Mo1 Mo 0.000 0.500 0.500
# - E_form: 0.126 eV/atom
# - Total moment: 16.348 μB per formula unit
# - Total DFT energy (no corrections): -101.370 eV per cell

=====

# 8
# Ti5Fe3Mo12 | Alexandria | PBE | relaxed
data_Ti5Fe3Mo12
_chemical_formula_sum 'Ti40 Fe24 Mo96'
_space_group_name_H-M_alt 'I a -3 d'
_space_group_IT_number 230
_space_group_name_Hall '-I 4bd 2c 3'
_cell_length_a 14.632
_cell_length_b 14.632
_cell_length_c 14.632
_cell_angle_alpha 90.00
_cell_angle_beta 90.00
_cell_angle_gamma 90.00
loop_
_atom_site_label
_atom_site_type_symbol
_atom_site_fract_x
_atom_site_fract_y
_atom_site_fract_z
Ti1 Ti 0.000 0.000 0.000
Ti2 Ti 0.000 0.250 0.375
Fe1 Fe 0.000 0.250 0.125
Mo1 Mo 0.007 0.091 0.651
# - E_form: 1.308 eV/atom
# - Total moment: 2.604 μB per formula unit
# - Total DFT energy (no corrections): -1349.372 eV per cell